(1)
DFT (PBE) results for a relaxed structure of Ag2AuBr5.

Properties
**Formation energy without anion corrections**: -0.21 eV/atom
**Mass density**: 5070 kg/m3
**SG**: Cmcm
**Polymorph energy (0 for the lowest one)**: 7 meV per atom
**E**: -2.378 eV/atom
**Calculated volume**: 532.1 Å³/cell
**Total magnetic moment**: 0.00 μB/f.u.

a = 6.813 Å, b = 7.124 Å, c = 12.482 Å
α = 90.00°, β = 90.00°, γ = 118.57°
Fractional positions:
1 Ag 0.826 0.651 0.440
2 Ag 0.826 0.651 0.060
3 Ag 0.174 0.349 0.560
4 Ag 0.174 0.349 0.940
5 Au 0.794 0.589 0.750
6 Au 0.206 0.411 0.250
7 Br 0.945 0.889 0.884
8 Br 0.945 0.889 0.616
9 Br 0.339 0.678 0.403
10 Br 0.339 0.678 0.097
11 Br 0.741 0.482 0.250
12 Br 0.259 0.518 0.750
13 Br 0.661 0.322 0.597
14 Br 0.661 0.322 0.903
15 Br 0.055 0.111 0.116
16 Br 0.055 0.111 0.384

=====

(2)
DFT (PBE) results for a relaxed structure of TiWN3.

Properties
**Formation energy without anion corrections**: 0.11 eV/atom
**Mass density**: 7669 kg/m3
**SG**: Pm-3m
**E**: -9.051 eV/atom
**Calculated volume**: 59.3 Å³/cell
**Total magnetic moment**: 0.00 μB/f.u.

a = 3.899 Å, b = 3.899 Å, c = 3.899 Å
α = 90.00°, β = 90.00°, γ = 90.00°
Fractional positions:
1 N 0.000 0.500 0.000
2 N 0.000 0.000 0.500
3 N 0.500 0.000 0.000
4 W 0.000 0.000 0.000
5 Ti 0.500 0.500 0.500

=====

Q: Which value of calculated volume does entry 1 give?
A: 532.1 Å³/cell

=====

Q: Which formula does entry 2 have?
A: TiWN3